# 1
Density functional theory data (PBE-GGA) for crystalline SrZrFe2 at its relaxed geometry.

Output
Electronic total energy = -6.524 eV/atom
Fermi-level density of states = 5.7 states/eV/cell
Polymorph energy (0 for the lowest one) = 4.2 kJ/mol of atoms
Crystal system = tetragonal

Unit cell a=3.4963 b=3.4963 c=7.0467 alpha=90.00 beta=90.00 gamma=90.00
Space group P4/mmm (No. 123)
Inequivalent atoms, fractional coordinates:
1 Sr 0.0000 0.0000 0.0000 x1
2 Zr 0.0000 0.0000 0.5000 x1
3 Fe 0.5000 0.5000 0.3324 x2

---

# 2
Density functional theory data (PBE-GGA) for crystalline SrZrFe at its relaxed geometry.

Output
Electronic total energy = -4.491 eV/atom
Fermi-level density of states = 27.3 states/eV/cell
Polymorph energy (0 for the lowest one) = 136.5 kJ/mol of atoms
Crystal system = cubic

Unit cell a=6.8625 b=6.8625 c=6.8625 alpha=90.00 beta=90.00 gamma=90.00
Space group F-43m (No. 216)
Inequivalent atoms, fractional coordinates:
1 Sr 0.0000 0.0000 0.0000 x4
2 Zr 0.2500 0.2500 0.7500 x4
3 Fe 0.2500 0.2500 0.2500 x4

---

# 3
Density functional theory data (PBE-GGA) for crystalline SrZrFe2 at its relaxed geometry.

Output
Electronic total energy = -6.095 eV/atom
Fermi-level density of states = 21.9 states/eV/cell
Polymorph energy (0 for the lowest one) = 45.6 kJ/mol of atoms
Crystal system = trigonal

Unit cell a=3.3877 b=3.3877 c=25.4716 alpha=90.00 beta=90.00 gamma=120.00
Space group R-3m (No. 166, hexagonal axes)
Inequivalent atoms, fractional coordinates:
1 Sr 0.0000 0.0000 0.0000 x3
2 Zr 0.0000 0.0000 0.5000 x3
3 Fe 0.0000 0.0000 0.2378 x6

---

# 4
Density functional theory data (PBE-GGA) for crystalline SrZrFe2 at its relaxed geometry.

Output
Electronic total energy = -6.193 eV/atom
Fermi-level density of states = 6.6 states/eV/cell
Polymorph energy (0 for the lowest one) = 36.1 kJ/mol of atoms
Crystal system = tetragonal

Unit cell a=4.9413 b=4.9413 c=3.2801 alpha=90.00 beta=90.00 gamma=90.00
Space group P4/mmm (No. 123)
Inequivalent atoms, fractional coordinates:
1 Sr 0.0000 0.0000 0.0000 x1
2 Zr 0.5000 0.5000 0.0000 x1
3 Fe 0.0000 0.5000 0.5000 x2

---

| no. | ΔH_f (0 K) (eV/atom) |
| --- | --- |
| 1 | 0.26 |
| 2 | 1.74 |
| 3 | 0.69 |
| 4 | 0.60 |